1.
Crystalline Al3Tc2 at its relaxed geometry. Source: Alexandria, functional PBE.

a b c (Å): 10.755 10.755 10.755
angles (deg): 15.26 15.26 15.26
Fractional positions:
1 Tc 0.601 0.601 0.601
2 Tc 0.399 0.399 0.399
3 Al 0.000 0.000 0.000
4 Al 0.798 0.798 0.798
5 Al 0.202 0.202 0.202

E_form (kJ per mole of atoms): -13.8

2.
Crystalline Sm4ZnPd at its relaxed geometry. Source: Alexandria, functional PBE.

a b c (Å): 4.980 4.981 7.154
angles (deg): 89.90 89.95 90.00
Fractional positions:
1 Sm 0.002 0.498 0.746
2 Sm 0.501 0.997 0.250
3 Pd 0.001 0.997 0.498
4 Sm 0.001 0.497 0.250
5 Zn 0.501 0.497 0.998
6 Sm 0.502 0.998 0.746

E_form (kJ per mole of atoms): -17.5

3.
Crystalline Ac2BPdPt4 at its relaxed geometry. Source: Alexandria, functional PBE.

a b c (Å): 6.529 5.651 11.642
angles (deg): 80.68 73.72 54.71
Fractional positions:
1 Pt 0.501 0.210 0.134
2 B 0.500 0.000 0.000
3 Pt 0.386 0.710 0.366
4 Pt 0.461 0.290 0.634
5 Pt 0.364 0.790 0.134
6 Pd 0.000 0.000 0.000
7 Ac 0.812 0.000 0.375
8 Pt 0.845 0.790 0.866
9 Pt 0.249 0.290 0.366
10 Ac 0.562 0.500 0.875
11 Pt 0.289 0.210 0.866
12 Ac 0.938 0.500 0.125
13 B 0.250 0.500 0.500
14 Pt 0.905 0.710 0.634
15 Ac 0.188 0.000 0.625
16 Pd 0.750 0.500 0.500

E_form (kJ per mole of atoms): -72.0

4.
Crystalline CaOsPt2 at its relaxed geometry. Source: Alexandria, functional PBE.

a b c (Å): 9.527 9.527 9.527
angles (deg): 17.38 17.38 17.38
Fractional positions:
1 Pt 0.005 0.005 0.005
2 Ca 0.250 0.250 0.250
3 Pt 0.495 0.495 0.495
4 Os 0.750 0.750 0.750

E_form (kJ per mole of atoms): 15.6

5.
Crystalline NdSm6Tl3 at its relaxed geometry. Source: Alexandria, functional PBE.

a b c (Å): 7.888 9.468 9.468
angles (deg): 111.39 90.00 90.00
Fractional positions:
1 Nd 0.584 0.789 0.211
2 Sm 0.793 0.924 0.546
3 Sm 0.606 0.234 0.302
4 Sm 0.606 0.698 0.766
5 Tl 0.817 0.555 0.445
6 Sm 0.293 0.076 0.454
7 Sm 0.126 0.701 0.299
8 Nd 0.084 0.211 0.789
9 Tl 0.932 0.018 0.283
10 Tl 0.432 0.283 0.018
11 Sm 0.293 0.546 0.924
12 Tl 0.317 0.445 0.555
13 Sm 0.796 0.047 0.953
14 Tl 0.432 0.982 0.717
15 Sm 0.296 0.953 0.047
16 Tl 0.932 0.717 0.982
17 Sm 0.106 0.766 0.698
18 Sm 0.793 0.454 0.076
19 Sm 0.626 0.299 0.701
20 Sm 0.106 0.302 0.234

E_form (kJ per mole of atoms): -10.0

6.
Crystalline Tm2MgAl9 at its relaxed geometry. Source: Alexandria, functional PBE.

a b c (Å): 4.209 4.209 12.552
angles (deg): 90.00 90.00 90.00
Fractional positions:
1 Al 0.500 0.000 0.500
2 Al 0.500 0.500 0.333
3 Al 0.500 0.500 0.667
4 Al 0.000 0.500 0.159
5 Tm 0.000 0.000 0.331
6 Al 0.500 0.000 0.159
7 Al 0.000 0.500 0.500
8 Al 0.000 0.500 0.841
9 Mg 0.000 0.000 0.000
10 Tm 0.000 0.000 0.669
11 Al 0.500 0.500 0.000
12 Al 0.500 0.000 0.841

E_form (kJ per mole of atoms): -25.2

7.
Crystalline Nd2Er3Tm7 at its relaxed geometry. Source: Alexandria, functional PBE.

a b c (Å): 3.586 5.620 18.886
angles (deg): 98.56 90.00 90.00
Fractional positions:
1 Nd 0.000 0.147 0.294
2 Er 0.500 0.314 0.627
3 Tm 0.500 0.930 0.860
4 Tm 0.000 0.230 0.461
5 Tm 0.000 0.412 0.823
6 Nd 0.000 0.853 0.706
7 Tm 0.000 0.588 0.177
8 Tm 0.000 0.770 0.539
9 Er 0.500 0.500 0.000
10 Tm 0.500 0.070 0.140
11 Er 0.500 0.686 0.373
12 Tm 0.000 0.000 0.000

E_form (kJ per mole of atoms): 11.4

8.
Crystalline Pu4O4F5 at its relaxed geometry. Source: Alexandria, functional PBE.

a b c (Å): 3.722 7.200 7.200
angles (deg): 86.17 75.02 75.02
Fractional positions:
1 F 0.602 0.714 0.083
2 O 0.382 0.748 0.488
3 O 0.130 0.488 0.252
4 F 0.000 0.000 0.000
5 O 0.870 0.512 0.748
6 Pu 0.055 0.205 0.685
7 Pu 0.260 0.685 0.795
8 Pu 0.740 0.315 0.205
9 Pu 0.945 0.795 0.315
10 F 0.684 0.917 0.714
11 O 0.618 0.252 0.512
12 F 0.398 0.286 0.917
13 F 0.316 0.083 0.286

Formation energy without anion corrections (meV per atom): -3212

9.
Crystalline K2VCdCl6 at its relaxed geometry. Source: Alexandria, functional PBE.

a b c (Å): 7.228 7.227 7.228
angles (deg): 60.00 59.99 90.00
Fractional positions:
1 V 0.000 0.000 0.000
2 Cd 0.500 0.500 0.000
3 Cl 0.757 0.243 0.000
4 Cl 0.243 0.243 0.000
5 K 0.750 0.250 0.500
6 Cl 0.243 0.757 0.000
7 Cl 0.757 0.757 0.486
8 K 0.250 0.750 0.500
9 Cl 0.757 0.757 0.000
10 Cl 0.243 0.243 0.514

Formation energy without anion corrections (meV per atom): -1411

10.
Crystalline KCdPt2 at its relaxed geometry. Source: Alexandria, functional PBE.

a b c (Å): 2.833 4.171 7.713
angles (deg): 90.00 90.00 90.00
Fractional positions:
1 Cd 0.000 0.000 0.428
2 Pt 0.000 0.000 0.071
3 Pt 0.500 0.500 0.218
4 K 0.500 0.500 0.783

E_form (kJ per mole of atoms): 0.8

11.
Crystalline UH3F6 at its relaxed geometry. Source: Alexandria, functional PBE.

a b c (Å): 6.367 6.367 6.367
angles (deg): 95.45 95.45 95.45
Fractional positions:
1 F 0.161 0.343 0.978
2 F 0.978 0.161 0.343
3 H 0.096 0.733 0.537
4 F 0.657 0.022 0.839
5 F 0.412 0.171 0.627
6 H 0.537 0.096 0.733
7 F 0.373 0.588 0.829
8 F 0.588 0.829 0.373
9 H 0.904 0.267 0.463
10 F 0.829 0.373 0.588
11 U 0.500 0.500 0.500
12 F 0.022 0.839 0.657
13 F 0.627 0.412 0.171
14 H 0.463 0.904 0.267
15 H 0.267 0.463 0.904
16 F 0.839 0.657 0.022
17 F 0.343 0.978 0.161
18 F 0.171 0.627 0.412
19 U 0.000 0.000 0.000
20 H 0.733 0.537 0.096

DFT total energy (Ry/atom): -0.4044

12.
Crystalline GdGeAu4 at its relaxed geometry. Source: Alexandria, functional PBE.

a b c (Å): 5.602 5.602 5.602
angles (deg): 60.00 60.00 60.00
Fractional positions:
1 Ge 0.000 0.000 0.000
2 Au 0.625 0.125 0.625
3 Au 0.625 0.625 0.625
4 Au 0.125 0.625 0.625
5 Au 0.625 0.625 0.125
6 Gd 0.250 0.250 0.250

E_form (kJ per mole of atoms): -31.6

| no. | DOS at the Fermi energy (states/eV/cell) | calculated volume (Å³ per cell) |
| --- | --- | --- |
| 1 | 6.780 | 75 |
| 2 | 9.777 | 177 |
| 3 | 8.927 | 337 |
| 4 | 2.600 | 67 |
| 5 | 25.514 | 658 |
| 6 | 4.031 | 222 |
| 7 | 17.436 | 376 |
| 8 | 26.622 | 180 |
| 9 | 7.860 | 267 |
| 10 | 3.006 | 91 |
| 11 | 5.771 | 254 |
| 12 | 3.932 | 124 |